Material: NbFeP2
Method: DFT, GGA-PBE
State: relaxed

energy	-7.3957	eV/atom
DFT formation energy	-0.06	eV/atom

```
data_NbFeP2
_space_group_name_H-M_alt 'P 1'
_space_group_IT_number 1
_cell_length_a 5.388
_cell_length_b 5.388
_cell_length_c 6.315
_cell_angle_alpha 64.75
_cell_angle_beta 64.75
_cell_angle_gamma 90.00
loop_
_space_group_symop_operation_xyz
'x,y,z'
loop_
_atom_site_label
_atom_site_type_symbol
_atom_site_fract_x
_atom_site_fract_y
_atom_site_fract_z
P1 P 0.171 0.625 0.250
P2 P 0.875 0.829 0.750
P3 P 0.579 0.125 0.250
P4 P 0.375 0.421 0.750
Fe1 Fe 0.250 0.750 0.500
Fe2 Fe 0.500 0.500 0.000
Nb1 Nb 0.000 0.000 0.000
Nb2 Nb 0.750 0.250 0.500
```

Material: RbLiPmCl5
Method: DFT, GGA-PBE
State: relaxed

uncorrected formation energy	-2.10	eV per atom
energy	-4.2085	eV/atom

```
data_RbLiPmCl5
_space_group_name_H-M_alt 'P 1'
_space_group_IT_number 1
_cell_length_a 7.667
_cell_length_b 7.667
_cell_length_c 10.284
_cell_angle_alpha 103.85
_cell_angle_beta 103.85
_cell_angle_gamma 107.06
loop_
_space_group_symop_operation_xyz
'x,y,z'
loop_
_atom_site_label
_atom_site_type_symbol
_atom_site_fract_x
_atom_site_fract_y
_atom_site_fract_z
Li1 Li 0.690 0.310 0.250
Li2 Li 0.310 0.690 0.750
Cl1 Cl 0.922 0.078 0.750
Cl2 Cl 0.757 0.625 0.418
Cl3 Cl 0.243 0.375 0.582
Cl4 Cl 0.903 0.304 0.111
Cl5 Cl 0.625 0.757 0.918
Cl6 Cl 0.097 0.696 0.889
Cl7 Cl 0.696 0.097 0.389
Cl8 Cl 0.078 0.922 0.250
Cl9 Cl 0.375 0.243 0.082
Cl10 Cl 0.304 0.903 0.611
Rb1 Rb 0.345 0.655 0.250
Rb2 Rb 0.655 0.345 0.750
Pm1 Pm 0.000 0.000 0.000
Pm2 Pm 0.000 0.000 0.500
```